No. 1
# K2YFe (GGA-PBE, relaxed)
# - calculated formation energy (eV per atom) = 0.989
# - crystal system = orthorhombic
# - magnetic moment (μB per formula unit) = 3.1
# - volume (Å³ per cell) = 278.1
# - DOS at the Fermi energy (states/eV/atom) = 1.91
# - final energy (eV per atom) = -3.291
data_K2YFe
_chemical_formula_sum 'K4 Y2 Fe2'
_cell_length_a 3.888
_cell_length_b 5.660
_cell_length_c 12.637
_cell_angle_alpha 90.00
_cell_angle_beta 90.00
_cell_angle_gamma 90.00
_symmetry_space_group_name_H-M 'C m m m'
_symmetry_Int_Tables_number 65
_symmetry_space_group_name_Hall '-C 2 2'
loop_
_atom_site_label
_atom_site_type_symbol
_atom_site_fract_x
_atom_site_fract_y
_atom_site_fract_z
_atom_site_occupancy
K1 K 0.000 0.000 0.216 1
Y1 Y 0.000 0.500 0.500 1
Fe1 Fe 0.000 0.500 0.000 1

No. 2
# Pr3Nd3Ho4 (GGA-PBE, relaxed)
# - calculated formation energy (eV per atom) = 0.092
# - crystal system = orthorhombic
# - magnetic moment (μB per formula unit) = 0.4
# - volume (Å³ per cell) = 692.5
# - DOS at the Fermi energy (states/eV/atom) = 0.98
# - final energy (eV per atom) = -4.603
data_Pr3Nd3Ho4
_chemical_formula_sum 'Pr6 Nd6 Ho8'
_cell_length_a 3.677
_cell_length_b 13.722
_cell_length_c 13.726
_cell_angle_alpha 90.00
_cell_angle_beta 90.00
_cell_angle_gamma 90.00
_symmetry_space_group_name_H-M 'A m m 2'
_symmetry_Int_Tables_number 38
loop_
_symmetry_equiv_pos_as_xyz
'x,y,z'
'-x,-y,z'
'-x,y,z'
'x,-y,z'
'x,y+1/2,z+1/2'
'-x,-y+1/2,z+1/2'
'-x,y+1/2,z+1/2'
'x,-y+1/2,z+1/2'
loop_
_atom_site_label
_atom_site_type_symbol
_atom_site_fract_x
_atom_site_fract_y
_atom_site_fract_z
_atom_site_occupancy
Pr1 Pr 0.000 0.000 0.000 1
Pr2 Pr 0.000 0.175 0.675 1
Nd1 Nd 0.000 0.000 0.350 1
Nd2 Nd 0.500 0.249 0.425 1
Ho1 Ho 0.500 0.000 0.552 1
Ho2 Ho 0.500 0.000 0.797 1
Ho3 Ho 0.500 0.122 0.175 1

No. 3
# Dy8Ga2Os (GGA-PBE, relaxed)
# - calculated formation energy (eV per atom) = -0.177
# - crystal system = orthorhombic
# - magnetic moment (μB per formula unit) = 0.0
# - volume (Å³ per cell) = 569.6
# - DOS at the Fermi energy (states/eV/atom) = 0.99
# - final energy (eV per atom) = -5.095
data_Dy8Ga2Os
_chemical_formula_sum 'Dy16 Ga4 Os2'
_cell_length_a 4.925
_cell_length_b 8.176
_cell_length_c 14.146
_cell_angle_alpha 90.00
_cell_angle_beta 90.00
_cell_angle_gamma 90.00
_symmetry_space_group_name_H-M 'I m m m'
_symmetry_Int_Tables_number 71
_symmetry_space_group_name_Hall '-I 2 2'
loop_
_atom_site_label
_atom_site_type_symbol
_atom_site_fract_x
_atom_site_fract_y
_atom_site_fract_z
_atom_site_occupancy
Dy1 Dy 0.000 0.000 0.124 1
Dy2 Dy 0.000 0.229 0.346 1
Dy3 Dy 0.000 0.322 0.000 1
Ga1 Ga 0.000 0.500 0.192 1
Os1 Os 0.000 0.500 0.500 1

No. 4
# NpCuSb (GGA-PBE, relaxed)
# - crystal system = tetragonal
# - formation energy without anion corrections (eV/atom) = 0.235
# - magnetic moment (μB per formula unit) = 4.0
# - volume (Å³ per cell) = 138.1
# - DOS at the Fermi energy (states/eV/atom) = 3.44
# - final energy (eV per atom) = -6.818
data_NpCuSb
_chemical_formula_sum 'Np2 Cu2 Sb2'
_cell_length_a 3.976
_cell_length_b 3.976
_cell_length_c 8.735
_cell_angle_alpha 90.00
_cell_angle_beta 90.00
_cell_angle_gamma 90.00
_symmetry_space_group_name_H-M 'I 4 m m'
_symmetry_Int_Tables_number 107
_symmetry_space_group_name_Hall 'I 4 -2'
loop_
_atom_site_label
_atom_site_type_symbol
_atom_site_fract_x
_atom_site_fract_y
_atom_site_fract_z
_atom_site_occupancy
Np1 Np 0.000 0.000 0.000 1
Cu1 Cu 0.000 0.000 0.667 1
Sb1 Sb 0.000 0.000 0.346 1

No. 5
# Ga2BiTe2 (GGA-PBE, relaxed)
# - crystal system = tetragonal
# - formation energy without anion corrections (eV/atom) = -0.021
# - magnetic moment (μB per formula unit) = 0.0
# - volume (Å³ per cell) = 294.3
# - DOS at the Fermi energy (states/eV/atom) = 0.40
# - final energy (eV per atom) = -3.264
data_Ga2BiTe2
_chemical_formula_sum 'Ga4 Bi2 Te4'
_cell_length_a 8.538
_cell_length_b 8.538
_cell_length_c 4.037
_cell_angle_alpha 90.00
_cell_angle_beta 90.00
_cell_angle_gamma 90.00
_symmetry_space_group_name_H-M 'P 4/m b m'
_symmetry_Int_Tables_number 127
_symmetry_space_group_name_Hall '-P 4 2ab'
loop_
_atom_site_label
_atom_site_type_symbol
_atom_site_fract_x
_atom_site_fract_y
_atom_site_fract_z
_atom_site_occupancy
Ga1 Ga 0.127 0.373 0.000 1
Bi1 Bi 0.000 0.000 0.500 1
Te1 Te 0.178 0.678 0.500 1

No. 6
# La12TbEr7 (GGA-PBE, relaxed)
# - calculated formation energy (eV per atom) = 0.197
# - crystal system = trigonal
# - magnetic moment (μB per formula unit) = 0.0
# - volume (Å³ per cell) = 2109.4
# - DOS at the Fermi energy (states/eV/atom) = 1.39
# - final energy (eV per atom) = -4.588
data_La12TbEr7
_chemical_formula_sum 'La36 Tb3 Er21'
_cell_length_a 19.5841
_cell_length_b 19.5841
_cell_length_c 6.3506
_cell_angle_alpha 90.00
_cell_angle_beta 90.00
_cell_angle_gamma 120.00
_symmetry_space_group_name_H-M 'R -3 m'
_symmetry_Int_Tables_number 166
_symmetry_space_group_name_Hall '-R 3 2"'
loop_
_atom_site_label
_atom_site_type_symbol
_atom_site_fract_x
_atom_site_fract_y
_atom_site_fract_z
_atom_site_occupancy
La1 La 0.0000 0.4082 0.0000 1
La2 La 0.0972 0.5486 0.4765 1
Tb1 Tb 0.0000 0.0000 0.5000 1
Er1 Er 0.0000 0.0000 0.0000 1
Er2 Er 0.0822 0.1645 0.3028 1

No. 7
# Cs3SbMo (GGA-PBE, relaxed)
# - crystal system = cubic
# - formation energy without anion corrections (eV/atom) = 0.928
# - magnetic moment (μB per formula unit) = 6.0
# - volume (Å³ per cell) = 400.9
# - DOS at the Fermi energy (states/eV/atom) = 1.07
# - final energy (eV per atom) = -2.575
data_Cs3SbMo
_chemical_formula_sum 'Cs3 Sb1 Mo1'
_cell_length_a 7.373
_cell_length_b 7.373
_cell_length_c 7.373
_cell_angle_alpha 90.00
_cell_angle_beta 90.00
_cell_angle_gamma 90.00
_symmetry_space_group_name_H-M 'P m -3 m'
_symmetry_Int_Tables_number 221
_symmetry_space_group_name_Hall '-P 4 2 3'
loop_
_atom_site_label
_atom_site_type_symbol
_atom_site_fract_x
_atom_site_fract_y
_atom_site_fract_z
_atom_site_occupancy
Cs1 Cs 0.000 0.000 0.500 1
Sb1 Sb 0.000 0.000 0.000 1
Mo1 Mo 0.500 0.500 0.500 1

No. 8
# Ba2MnAl (GGA-PBE, relaxed)
# - calculated formation energy (eV per atom) = 0.396
# - crystal system = tetragonal
# - magnetic moment (μB per formula unit) = 4.0
# - volume (Å³ per cell) = 245.7
# - DOS at the Fermi energy (states/eV/atom) = 1.12
# - final energy (eV per atom) = -3.794
data_Ba2MnAl
_chemical_formula_sum 'Ba4 Mn2 Al2'
_cell_length_a 5.584
_cell_length_b 5.584
_cell_length_c 7.880
_cell_angle_alpha 90.00
_cell_angle_beta 90.00
_cell_angle_gamma 90.00
_symmetry_space_group_name_H-M 'I -4 m 2'
_symmetry_Int_Tables_number 119
_symmetry_space_group_name_Hall 'I -4 -2'
loop_
_atom_site_label
_atom_site_type_symbol
_atom_site_fract_x
_atom_site_fract_y
_atom_site_fract_z
_atom_site_occupancy
Ba1 Ba 0.000 0.000 0.000 1
Ba2 Ba 0.000 0.500 0.250 1
Mn1 Mn 0.000 0.000 0.500 1
Al1 Al 0.000 0.500 0.750 1